Material: Mg3Si2Ni
Method: DFT, PBE
State: optimized geometry

## Properties
- Theoretical density: 2.8 g/cm3
- Total DFT energy (no corrections): -21.26 eV/f.u.
- Spin magnetization: 0.00 μB per atom

Lattice parameters (Å, degrees): 4.298 4.298 6.044 90.00 90.00 90.00
Space group P-4m2 (No. 115)
One atom of each set of equivalent atoms:
Mg (0.000, 0.000, 0.000) [1 per cell]
Mg (0.000, 0.000, 0.500) [1 per cell]
Mg (0.500, 0.500, 0.000) [1 per cell]
Si (0.000, 0.500, 0.277) [2 per cell]
Ni (0.500, 0.500, 0.500) [1 per cell]


Material: Mg2Si2Ni3
Method: DFT, PBE
State: optimized geometry

## Properties
- Theoretical density: 5.0 g/cm3
- Total DFT energy (no corrections): -33.41 eV/f.u.
- Spin magnetization: 0.00 μB per atom

Lattice parameters (Å, degrees): 4.0686 4.0686 19.6883 90.00 90.00 120.00
Space group R3m (No. 160, hexagonal axes)
One atom of each set of equivalent atoms:
Mg (0.0000, 0.0000, 0.0000) [3 per cell]
Mg (0.0000, 0.0000, 0.4819) [3 per cell]
Si (0.0000, 0.0000, 0.2384) [3 per cell]
Si (0.0000, 0.0000, 0.7393) [3 per cell]
Ni (0.0000, 0.0000, 0.3584) [3 per cell]
Ni (0.0000, 0.0000, 0.6119) [3 per cell]
Ni (0.0000, 0.0000, 0.8694) [3 per cell]


What is the theoretical density in the second record? 5.0 g/cm3


What did the first record say?
Material: Mg3Si2Ni
Method: DFT, PBE
State: optimized geometry

## Properties
- Theoretical density: 2.8 g/cm3
- Total DFT energy (no corrections): -21.26 eV/f.u.
- Spin magnetization: 0.00 μB per atom

Lattice parameters (Å, degrees): 4.298 4.298 6.044 90.00 90.00 90.00
Space group P-4m2 (No. 115)
One atom of each set of equivalent atoms:
Mg (0.000, 0.000, 0.000) [1 per cell]
Mg (0.000, 0.000, 0.500) [1 per cell]
Mg (0.500, 0.500, 0.000) [1 per cell]
Si (0.000, 0.500, 0.277) [2 per cell]
Ni (0.500, 0.500, 0.500) [1 per cell]